Model one:
This record from the Alexandria database describes DyHoH2 after structural relaxation. The functional is PBE.

Properties
As for the space group: R3m (160). As for the crystal system: trigonal. The calculation puts the calculated density at 8.950 Mg/m³.

Cell: 3.482 3.482 17.466 Å, 90.00 90.00 120.00°
Fractional coordinates of all 12 atoms:
Dy 0.000 0.000 0.000
Dy 0.333 0.667 0.667
Dy 0.667 0.333 0.333
Ho 0.000 0.000 0.180
Ho 0.333 0.667 0.847
Ho 0.667 0.333 0.514
H 0.000 0.000 0.415
H 0.000 0.000 0.591
H 0.333 0.667 0.081
H 0.333 0.667 0.258
H 0.667 0.333 0.748
H 0.667 0.333 0.925


Model two:
This record from the Alexandria database describes DyHoH2 after structural relaxation. The functional is PBE.

Properties
As for the space group: R-3m (166). As for the crystal system: trigonal. The calculation puts the calculated density at 9.311 Mg/m³.

Cell: 3.469 3.469 16.911 Å, 90.00 90.00 120.00°
Fractional coordinates of all 12 atoms:
Dy 0.000 0.000 0.000
Dy 0.333 0.667 0.667
Dy 0.667 0.333 0.333
Ho 0.000 0.000 0.500
Ho 0.333 0.667 0.167
Ho 0.667 0.333 0.833
H 0.000 0.000 0.249
H 0.000 0.000 0.751
H 0.333 0.667 0.417
H 0.333 0.667 0.916
H 0.667 0.333 0.084
H 0.667 0.333 0.583


Ranking the structures above from most stable to least stable yields model two, model one.